Here is a relaxed Ta2CdGe2 crystal from Alexandria via LeMat-Bulk. Energies are from PBE-GGA.

Computed properties:
Its density of states at the Fermi level is 0.32 states/eV/atom. The total DFT energy (no corrections) comes out at -6.688 eV per atom. The distance to the lowest polymorph of the same formula comes out at 0.02 eV/f.u. For the energy relative to the elements, the calculation gives 0.41 eV/f.u.

Structure (CIF):
```
data_Ta2CdGe2
_chemical_formula_sum 'Ta4 Cd2 Ge4'
_cell_length_a 7.3861
_cell_length_b 7.3861
_cell_length_c 3.3359
_cell_angle_alpha 90.00
_cell_angle_beta 90.00
_cell_angle_gamma 90.00
_space_group_name_H-M_alt 'P 4/m b m'
_space_group_IT_number 127
_space_group_name_Hall '-P 4 2ab'
loop_
_atom_site_label
_atom_site_fract_x
_atom_site_fract_y
_atom_site_fract_z
Ta1 0.1353 0.3647 0.0000
Cd1 0.0000 0.0000 0.5000
Ge1 0.1521 0.6521 0.5000
```

Here is a relaxed Nd2Ni3P2 crystal from Alexandria via LeMat-Bulk. Energies are from PBE-GGA.

Computed properties:
Its density of states at the Fermi level is 0.58 states/eV/atom. The total DFT energy (no corrections) comes out at -6.194 eV per atom. For the energy relative to the elements, the calculation gives -5.66 eV/f.u.

Structure (CIF):
```
data_Nd2Ni3P2
_chemical_formula_sum 'Nd4 Ni6 P4'
_cell_length_a 10.4937
_cell_length_b 3.7445
_cell_length_c 6.8047
_cell_angle_alpha 90.00
_cell_angle_beta 119.00
_cell_angle_gamma 90.00
_space_group_name_H-M_alt 'C 1 2/m 1'
_space_group_IT_number 12
_space_group_name_Hall '-C 2y'
loop_
_atom_site_label
_atom_site_fract_x
_atom_site_fract_y
_atom_site_fract_z
Nd1 0.1312 0.0000 0.2660
Ni1 0.0000 0.5000 0.5000
Ni2 0.1519 0.5000 0.9215
P1 0.1484 0.0000 0.7254
```

Here is a relaxed NaInSe2N crystal from Alexandria via LeMat-Bulk. Energies are from PBE-GGA.

Computed properties:
Its density of states at the Fermi level is 0.88 states/eV/atom. The total DFT energy (no corrections) comes out at -2.907 eV per atom. The distance to the lowest polymorph of the same formula comes out at 2.80 eV/f.u. The value obtained for the uncorrected formation energy is 963 meV/atom.

Structure (CIF):
```
data_NaInSe2N
_chemical_formula_sum 'Na1 In1 Se2 N1'
_cell_length_a 5.3347
_cell_length_b 5.3347
_cell_length_c 4.4051
_cell_angle_alpha 90.00
_cell_angle_beta 90.00
_cell_angle_gamma 90.00
_space_group_name_H-M_alt 'P 4/m m m'
_space_group_IT_number 123
_space_group_name_Hall '-P 4 2'
loop_
_atom_site_label
_atom_site_fract_x
_atom_site_fract_y
_atom_site_fract_z
Na1 0.0000 0.0000 0.0000
In1 0.5000 0.5000 0.5000
Se1 0.0000 0.5000 0.0000
N1 0.0000 0.0000 0.5000
```

Here is a relaxed Be6ZnNi crystal from Alexandria via LeMat-Bulk. Energies are from PBE-GGA.

Computed properties:
Its density of states at the Fermi level is 0.33 states/eV/atom. The total DFT energy (no corrections) comes out at -3.775 eV per atom. For the energy relative to the elements, the calculation gives -0.79 eV/f.u.

Structure (CIF):
```
data_Be6ZnNi
_chemical_formula_sum 'Be6 Zn1 Ni1'
_cell_length_a 3.7208
_cell_length_b 4.8103
_cell_length_c 4.0439
_cell_angle_alpha 90.00
_cell_angle_beta 90.00
_cell_angle_gamma 90.00
_space_group_name_H-M_alt 'P m m 2'
_space_group_IT_number 25
_space_group_name_Hall 'P 2 -2'
loop_
_atom_site_label
_atom_site_fract_x
_atom_site_fract_y
_atom_site_fract_z
Be1 0.0000 0.0000 0.0000
Be2 0.0000 0.2379 0.5047
Be3 0.5000 0.2277 0.8395
Be4 0.5000 0.5000 0.3759
Zn1 0.0000 0.5000 0.0079
Ni1 0.5000 0.0000 0.3392
```